# Ac5CoOs (GGA-PBE, optimized geometry)
data_Ac5CoOs
_chemical_formula_sum 'Ac20 Co4 Os4'
_space_group_name_H-M_alt 'C 1 2/c 1'
_space_group_IT_number 15
_cell_length_a 11.199
_cell_length_b 9.290
_cell_length_c 11.189
_cell_angle_alpha 90.00
_cell_angle_beta 112.09
_cell_angle_gamma 90.00
loop_
_space_group_symop_operation_xyz
'x,y,z'
'-x,-y,-z'
'-x,y,-z+1/2'
'x,-y,z+1/2'
'x+1/2,y+1/2,z'
'-x+1/2,-y+1/2,-z'
'-x+1/2,y+1/2,-z+1/2'
'x+1/2,-y+1/2,z+1/2'
loop_
_atom_site_label
_atom_site_fract_x
_atom_site_fract_y
_atom_site_fract_z
_atom_site_occupancy
Ac1 0.000 0.250 0.250 1
Ac2 0.105 0.180 0.654 1
Ac3 0.181 0.451 0.998 1
Co1 0.000 0.426 0.750 1
Os1 0.250 0.250 0.500 1
# Magnetic moment ... 0.0 μB/cell
# E ... -152.72 eV for the cell shown

# HoReTc2 (GGA-PBE, optimized geometry)
data_HoReTc2
_chemical_formula_sum 'Ho8 Re8 Tc16'
_space_group_name_H-M_alt 'F d d d'
_space_group_IT_number 70
_cell_length_a 6.666
_cell_length_b 6.682
_cell_length_c 17.096
_cell_angle_alpha 90.00
_cell_angle_beta 90.00
_cell_angle_gamma 90.00
loop_
_space_group_symop_operation_xyz
'x,y,z'
'-x,-y,-z'
'-x+1/4,-y+1/4,z'
'x+1/4,y+1/4,-z'
'x,-y+1/4,-z+1/4'
'-x,y+1/4,z+1/4'
'-x+1/4,y,-z+1/4'
'x+1/4,-y,z+1/4'
'x,y+1/2,z+1/2'
'-x,-y+1/2,-z+1/2'
'-x+1/4,-y+3/4,z+1/2'
'x+1/4,y+3/4,-z+1/2'
'x,-y+3/4,-z+3/4'
'-x,y+3/4,z+3/4'
'-x+1/4,y+1/2,-z+3/4'
'x+1/4,-y+1/2,z+3/4'
'x+1/2,y,z+1/2'
'-x+1/2,-y,-z+1/2'
'-x+3/4,-y+1/4,z+1/2'
'x+3/4,y+1/4,-z+1/2'
'x+1/2,-y+1/4,-z+3/4'
'-x+1/2,y+1/4,z+3/4'
'-x+3/4,y,-z+3/4'
'x+3/4,-y,z+3/4'
'x+1/2,y+1/2,z'
'-x+1/2,-y+1/2,-z'
'-x+3/4,-y+3/4,z'
'x+3/4,y+3/4,-z'
'x+1/2,-y+3/4,-z+1/4'
'-x+1/2,y+3/4,z+1/4'
'-x+3/4,y+1/2,-z+1/4'
'x+3/4,-y+1/2,z+1/4'
loop_
_atom_site_label
_atom_site_fract_x
_atom_site_fract_y
_atom_site_fract_z
_atom_site_occupancy
Ho1 0.125 0.125 0.125 1
Re1 0.125 0.125 0.625 1
Tc1 0.000 0.000 0.500 1
# Magnetic moment ... 0.0 μB/cell
# E ... -273.92 eV for the cell shown

# DyHo2Ni (GGA-PBE, optimized geometry)
data_DyHo2Ni
_chemical_formula_sum 'Dy3 Ho6 Ni3'
_space_group_name_H-M_alt 'R 3 m'
_space_group_IT_number 160
_space_group_name_Hall 'R 3 -2"'
_cell_length_a 3.7784
_cell_length_b 3.7784
_cell_length_c 26.4776
_cell_angle_alpha 90.00
_cell_angle_beta 90.00
_cell_angle_gamma 120.00
loop_
_atom_site_label
_atom_site_fract_x
_atom_site_fract_y
_atom_site_fract_z
_atom_site_occupancy
Dy1 0.0000 0.0000 0.0000 1
Ho1 0.0000 0.0000 0.5573 1
Ho2 0.0000 0.0000 0.7722 1
Ni1 0.0000 0.0000 0.1640 1
# Magnetic moment ... 0.0 μB/cell
# Energy above the most stable polymorph in this dataset ... 152 meV per atom
# E ... -59.86 eV for the cell shown

# KFe2AgCl8 (GGA-PBE, optimized geometry)
data_KFe2AgCl8
_chemical_formula_sum 'K1 Fe2 Ag1 Cl8'
_space_group_name_H-M_alt 'P -3 m 1'
_space_group_IT_number 164
_space_group_name_Hall '-P 3 2"'
_cell_length_a 7.2816
_cell_length_b 7.2816
_cell_length_c 8.6908
_cell_angle_alpha 90.00
_cell_angle_beta 90.00
_cell_angle_gamma 120.00
loop_
_atom_site_label
_atom_site_fract_x
_atom_site_fract_y
_atom_site_fract_z
_atom_site_occupancy
K1 0.0000 0.0000 0.0000 1
Fe1 0.3333 0.6667 0.2140 1
Ag1 0.0000 0.0000 0.5000 1
Cl1 0.1663 0.3325 0.2957 1
Cl2 0.3333 0.6667 0.9633 1
# Magnetic moment ... 10.0 μB/cell
# Formation energy (no corrections) ... -0.93 eV per atom
# E ... -46.81 eV for the cell shown

# Ca5Zn2Pb (GGA-PBE, optimized geometry)
data_Ca5Zn2Pb
_chemical_formula_sum 'Ca20 Zn8 Pb4'
_space_group_name_H-M_alt 'I 4/m c m'
_space_group_IT_number 140
_space_group_name_Hall '-I 4 2c'
_cell_length_a 8.012
_cell_length_b 8.012
_cell_length_c 15.281
_cell_angle_alpha 90.00
_cell_angle_beta 90.00
_cell_angle_gamma 90.00
loop_
_atom_site_label
_atom_site_fract_x
_atom_site_fract_y
_atom_site_fract_z
_atom_site_occupancy
Ca1 0.000 0.000 0.000 1
Ca2 0.175 0.325 0.142 1
Zn1 0.113 0.387 0.500 1
Pb1 0.000 0.000 0.250 1
# Magnetic moment ... 0.0 μB/cell
# E ... -75.70 eV for the cell shown

# Cs3RbRe2O8 (GGA-PBE, optimized geometry)
data_Cs3RbRe2O8
_chemical_formula_sum 'Cs3 Rb1 Re2 O8'
_space_group_name_H-M_alt 'P -3 m 1'
_space_group_IT_number 164
_space_group_name_Hall '-P 3 2"'
_cell_length_a 6.7031
_cell_length_b 6.7031
_cell_length_c 8.6547
_cell_angle_alpha 90.00
_cell_angle_beta 90.00
_cell_angle_gamma 120.00
loop_
_atom_site_label
_atom_site_fract_x
_atom_site_fract_y
_atom_site_fract_z
_atom_site_occupancy
Cs1 0.0000 0.0000 0.0000 1
Cs2 0.3333 0.6667 0.6725 1
Rb1 0.0000 0.0000 0.5000 1
Re1 0.3333 0.6667 0.2114 1
O1 0.1877 0.3755 0.2878 1
O2 0.3333 0.6667 0.0046 1
# Magnetic moment ... 2.0 μB/cell
# Formation energy (no corrections) ... -1.74 eV per atom
# E ... -92.40 eV for the cell shown

# BaTe6 (GGA-PBE, optimized geometry)
data_BaTe6
_chemical_formula_sum 'Ba2 Te12'
_space_group_name_H-M_alt 'I m -3 m'
_space_group_IT_number 229
_space_group_name_Hall '-I 4 2 3'
_cell_length_a 8.684
_cell_length_b 8.684
_cell_length_c 8.684
_cell_angle_alpha 90.00
_cell_angle_beta 90.00
_cell_angle_gamma 90.00
loop_
_atom_site_label
_atom_site_fract_x
_atom_site_fract_y
_atom_site_fract_z
_atom_site_occupancy
Ba1 0.000 0.000 0.000 1
Te1 0.000 0.250 0.500 1
# Magnetic moment ... 0.0 μB/cell
# Formation energy (no corrections) ... 0.12 eV per atom
# E ... -39.87 eV for the cell shown

# HfTcGe (GGA-PBE, optimized geometry)
data_HfTcGe
_chemical_formula_sum 'Hf4 Tc4 Ge4'
_space_group_name_H-M_alt 'C 1 m 1'
_space_group_IT_number 8
_cell_length_a 9.427
_cell_length_b 4.124
_cell_length_c 5.559
_cell_angle_alpha 90.00
_cell_angle_beta 104.22
_cell_angle_gamma 90.00
loop_
_space_group_symop_operation_xyz
'x,y,z'
'x,-y,z'
'x+1/2,y+1/2,z'
'x+1/2,-y+1/2,z'
loop_
_atom_site_label
_atom_site_fract_x
_atom_site_fract_y
_atom_site_fract_z
_atom_site_occupancy
Hf1 0.000 0.000 0.000 1
Hf2 0.248 0.000 0.621 1
Tc1 0.109 0.500 0.325 1
Tc2 0.311 0.000 0.163 1
Ge1 0.189 0.500 0.917 1
Ge2 0.425 0.500 0.462 1
# Magnetic moment ... 0.0 μB/cell
# Energy above the most stable polymorph in this dataset ... 310 meV per atom
# E ... -104.41 eV for the cell shown

# YMnAs2 (GGA-PBE, optimized geometry)
data_YMnAs2
_chemical_formula_sum 'Y2 Mn2 As4'
_space_group_name_H-M_alt 'I m m m'
_space_group_IT_number 71
_space_group_name_Hall '-I 2 2'
_cell_length_a 4.065
_cell_length_b 5.700
_cell_length_c 7.026
_cell_angle_alpha 90.00
_cell_angle_beta 90.00
_cell_angle_gamma 90.00
loop_
_atom_site_label
_atom_site_fract_x
_atom_site_fract_y
_atom_site_fract_z
_atom_site_occupancy
Y1 0.000 0.000 0.000 1
Mn1 0.000 0.000 0.500 1
As1 0.000 0.500 0.208 1
# Magnetic moment ... 6.9 μB/cell
# Energy above the most stable polymorph in this dataset ... 161 meV per atom
# E ... -54.16 eV for the cell shown

# MnRe2SiBi (GGA-PBE, optimized geometry)
data_MnRe2SiBi
_chemical_formula_sum 'Mn1 Re2 Si1 Bi1'
_space_group_name_H-M_alt 'P 4/m m m'
_space_group_IT_number 123
_space_group_name_Hall '-P 4 2'
_cell_length_a 4.614
_cell_length_b 4.614
_cell_length_c 4.288
_cell_angle_alpha 90.00
_cell_angle_beta 90.00
_cell_angle_gamma 90.00
loop_
_atom_site_label
_atom_site_fract_x
_atom_site_fract_y
_atom_site_fract_z
_atom_site_occupancy
Mn1 0.000 0.000 0.000 1
Re1 0.000 0.500 0.000 1
Si1 0.000 0.000 0.500 1
Bi1 0.500 0.500 0.500 1
# Magnetic moment ... 0.4 μB/cell
# Formation energy (no corrections) ... 1.11 eV per atom
# E ... -37.83 eV for the cell shown

# BeCrGa3 (GGA-PBE, optimized geometry)
data_BeCrGa3
_chemical_formula_sum 'Be1 Cr1 Ga3'
_space_group_name_H-M_alt 'P m -3 m'
_space_group_IT_number 221
_space_group_name_Hall '-P 4 2 3'
_cell_length_a 4.342
_cell_length_b 4.342
_cell_length_c 4.342
_cell_angle_alpha 90.00
_cell_angle_beta 90.00
_cell_angle_gamma 90.00
loop_
_atom_site_label
_atom_site_fract_x
_atom_site_fract_y
_atom_site_fract_z
_atom_site_occupancy
Be1 0.000 0.000 0.000 1
Cr1 0.500 0.500 0.500 1
Ga1 0.000 0.000 0.500 1
# Magnetic moment ... 0.2 μB/cell
# Energy above the most stable polymorph in this dataset ... 67 meV per atom
# E ... -17.98 eV for the cell shown

# Al2RhSe (GGA-PBE, optimized geometry)
data_Al2RhSe
_chemical_formula_sum 'Al2 Rh1 Se1'
_space_group_name_H-M_alt 'P 1 2/m 1'
_space_group_IT_number 10
_cell_length_a 3.311
_cell_length_b 3.231
_cell_length_c 6.115
_cell_angle_alpha 90.00
_cell_angle_beta 99.74
_cell_angle_gamma 90.00
loop_
_space_group_symop_operation_xyz
'x,y,z'
'-x,-y,-z'
'-x,y,-z'
'x,-y,z'
loop_
_atom_site_label
_atom_site_fract_x
_atom_site_fract_y
_atom_site_fract_z
_atom_site_occupancy
Al1 0.046 0.000 0.223 1
Rh1 0.500 0.500 0.000 1
Se1 0.500 0.500 0.500 1
# Magnetic moment ... 0.0 μB/cell
# Formation energy (no corrections) ... -0.41 eV per atom
# E ... -19.95 eV for the cell shown